[1]
The following is a DFT calculation (PBE-GGA) of crystalline Al2PtF8 at its relaxed geometry.

a b c (Å): 9.330 4.853 6.035
angles (deg): 90.00 92.15 90.00
Space group C2/m (No. 12)
Unique sites:
Al  0.248  0.000  0.304
Pt  0.000  0.000  0.000
F  0.078  0.500  0.726
F  0.149  0.247  0.147
F  0.187  0.000  0.563

## Properties
As for the calculated volume: 273 Å³/cell. For the energy, the calculation gives -111.96 eV per cell.

[2]
The following is a DFT calculation (PBE-GGA) of crystalline Rb2Tb3AlF16 at its relaxed geometry.

a b c (Å): 7.3230 7.3230 12.0908
angles (deg): 90.00 90.00 120.00
Space group P6_3/mmc (No. 194)
Unique sites:
Rb  0.3333  0.6667  0.0572
Tb  0.1722  0.3444  0.7500
Al  0.0000  0.0000  0.0000
F  0.0000  0.0000  0.2500
F  0.0969  0.5484  0.6434
F  0.1177  0.2355  0.0825
F  0.1986  0.3971  0.2500

## Properties
Its energy above the most stable polymorph in this dataset is 0.093 eV per atom. As for the calculated volume: 562 Å³/cell. For the energy, the calculation gives -243.61 eV per cell.

[3]
The following is a DFT calculation (PBE-GGA) of crystalline Rb2Tb3AlF16 at its relaxed geometry.

a b c (Å): 7.4842 7.4842 12.3176
angles (deg): 90.00 90.00 120.00
Space group P6_3/mmc (No. 194)
Unique sites:
Rb  0.3333  0.6667  0.0614
Tb  0.1703  0.3407  0.7500
Al  0.0000  0.0000  0.0000
F  0.0000  0.0000  0.2500
F  0.0948  0.5474  0.6467
F  0.1164  0.2329  0.5778
F  0.1909  0.3818  0.2500

## Properties
Its energy above the most stable polymorph in this dataset is 0.000 eV per atom. As for the calculated volume: 598 Å³/cell. For the energy, the calculation gives -247.70 eV per cell.

[4]
The following is a DFT calculation (PBE-GGA) of crystalline Al2ReF2 at its relaxed geometry.

a b c (Å): 2.8441 2.8441 16.7960
angles (deg): 90.00 90.00 120.00
Space group P6_3/mmc (No. 194)
Unique sites:
Al  0.3333  0.6667  0.1305
Re  0.0000  0.0000  0.2500
F  0.3333  0.6667  0.5591

## Properties
As for the calculated volume: 118 Å³/cell. For the energy, the calculation gives -62.17 eV per cell.

[5]
The following is a DFT calculation (PBE-GGA) of crystalline Al2Fe at its relaxed geometry.

a b c (Å): 10.452 10.452 10.452
angles (deg): 90.00 90.00 90.00
Space group Fd-3m (No. 227, origin choice 2)
Unique sites:
Al  0.000  0.000  0.000
Fe  0.125  0.125  0.125

## Properties
As for the calculated volume: 1142 Å³/cell. For the energy, the calculation gives -92.34 eV per cell.

[6]
The following is a DFT calculation (PBE-GGA) of crystalline Al13Fe4 at its relaxed geometry.

a b c (Å): 15.410 8.016 12.413
angles (deg): 90.00 107.71 90.00
Space group C2/m (No. 12)
Unique sites:
Al  0.000  0.000  0.000
Al  0.000  0.250  0.500
Al  0.008  0.233  0.170
Al  0.021  0.000  0.670
Al  0.065  0.500  0.673
Al  0.074  0.500  0.080
Al  0.087  0.500  0.288
Al  0.132  0.212  0.390
Al  0.137  0.219  0.022
Al  0.177  0.000  0.219
Al  0.178  0.280  0.835
Al  0.186  0.283  0.611
Al  0.195  0.000  0.728
Al  0.237  0.500  0.035
Al  0.241  0.500  0.461
Fe  0.085  0.500  0.883
Fe  0.091  0.500  0.488
Fe  0.098  0.000  0.515
Fe  0.099  0.000  0.876
Fe  0.180  0.293  0.222

## Properties
As for the calculated volume: 1461 Å³/cell. For the energy, the calculation gives -525.28 eV per cell.

[7]
The following is a DFT calculation (PBE-GGA) of crystalline AlFe at its relaxed geometry.

a b c (Å): 2.868 2.868 2.868
angles (deg): 90.00 90.00 90.00
Space group Pm-3m (No. 221)
Unique sites:
Al  0.000  0.000  0.000
Fe  0.500  0.500  0.500

## Properties
As for the calculated volume: 24 Å³/cell. For the energy, the calculation gives -12.72 eV per cell.

[8]
The following is a DFT calculation (PBE-GGA) of crystalline AlFe at its relaxed geometry.

a b c (Å): 4.880 4.880 4.880
angles (deg): 90.00 90.00 90.00
Space group Fm-3m (No. 225)
Unique sites:
Al  0.000  0.000  0.000
Fe  0.000  0.000  0.500

## Properties
As for the calculated volume: 116 Å³/cell. For the energy, the calculation gives -45.20 eV per cell.

[9]
The following is a DFT calculation (PBE-GGA) of crystalline Al2Fe at its relaxed geometry.

a b c (Å): 6.180 6.180 2.628
angles (deg): 90.00 90.00 90.00
Space group P4_2/mnm (No. 136)
Unique sites:
Al  0.230  0.230  0.000
Fe  0.000  0.000  0.500

## Properties
As for the calculated volume: 100 Å³/cell. For the energy, the calculation gives -31.20 eV per cell.

[10]
The following is a DFT calculation (PBE-GGA) of crystalline Al5Fe3 at its relaxed geometry.

a b c (Å): 7.1079 7.1079 4.9172
angles (deg): 90.00 90.00 120.00
Space group P6_3/mcm (No. 193)
Unique sites:
Al  0.0000  0.2444  0.2500
Al  0.3333  0.6667  0.0000
Fe  0.0000  0.3983  0.7500

## Properties
As for the calculated volume: 215 Å³/cell. For the energy, the calculation gives -90.03 eV per cell.

[11]
The following is a DFT calculation (PBE-GGA) of crystalline Al2Fe at its relaxed geometry.

a b c (Å): 10.891 10.891 10.891
angles (deg): 90.00 90.00 90.00
Space group Fd-3m (No. 227, origin choice 2)
Unique sites:
Al  0.000  0.000  0.000
Al  0.075  0.375  0.875
Fe  0.032  0.032  0.218

## Properties
As for the calculated volume: 1292 Å³/cell. For the energy, the calculation gives -534.51 eV per cell.

[12]
The following is a DFT calculation (PBE-GGA) of crystalline AlFe at its relaxed geometry.

a b c (Å): 2.869 2.869 2.869
angles (deg): 90.00 90.00 90.00
Space group Pm-3m (No. 221)
Unique sites:
Al  0.000  0.000  0.000
Fe  0.500  0.500  0.500

## Properties
As for the calculated volume: 24 Å³/cell. For the energy, the calculation gives -12.72 eV per cell.